DFT (PBE) results for crystalline Sr3Ce2TiAs6 at its relaxed geometry.

It has space group C2/m (No. 12), with a = 7.274 Å, b = 12.607 Å, c = 7.491 Å, α = 90.00°, β = 109.00° and γ = 90.00°. Symmetry generates all atoms from Sr at (0.000, 0.000, 0.000), Sr at (0.000, 0.330, 0.000), Ce at (0.000, 0.166, 0.500), Ti at (0.000, 0.500, 0.500), As at (0.227, 0.343, 0.712) and As at (0.241, 0.500, 0.287).

The calculation puts the calculated total energy at -5.54 eV per atom. The magnetization comes out at 0.6 Bohr magnetons per cell. Its formation energy from the elements is -1.149 eV per atom.


DFT (PBE) results for crystalline Sr4Ce3UAs8 at its relaxed geometry.

It has space group R-3m (No. 166, hexagonal axes), with a = 8.6463 Å, b = 8.6463 Å, c = 21.3324 Å, α = 90.00°, β = 90.00° and γ = 120.00°. Symmetry generates all atoms from Sr at (0.0000, 0.0000, 0.0000), Sr at (0.0000, 0.5000, 0.0000), Ce at (0.0000, 0.5000, 0.5000), U at (0.0000, 0.0000, 0.5000), As at (0.0000, 0.0000, 0.2403) and As at (0.0096, 0.5048, 0.2392).

The calculation puts the calculated total energy at -5.78 eV per atom. The magnetization comes out at 6.6 Bohr magnetons per cell. Its formation energy from the elements is -1.217 eV per atom.


DFT (PBE) results for crystalline SrCe2UAs4 at its relaxed geometry.

It has space group I-4m2 (No. 119), with a = 5.996 Å, b = 5.996 Å, c = 12.012 Å, α = 90.00°, β = 90.00° and γ = 90.00°. Symmetry generates all atoms from Sr at (0.000, 0.000, 0.000), Ce at (0.000, 0.000, 0.500), Ce at (0.000, 0.500, 0.250), U at (0.000, 0.500, 0.750), As at (0.000, 0.000, 0.258) and As at (0.000, 0.500, 0.507).

The calculation puts the calculated total energy at -6.56 eV per atom. The magnetization comes out at 7.7 Bohr magnetons per cell. Its formation energy from the elements is -1.134 eV per atom.


DFT (PBE) results for crystalline Sr3Ce3UAs8 at its relaxed geometry.

It has space group R-3m (No. 166, hexagonal axes), with a = 8.6028 Å, b = 8.6028 Å, c = 21.3745 Å, α = 90.00°, β = 90.00° and γ = 120.00°. Symmetry generates all atoms from Sr at (0.0000, 0.5000, 0.0000), Ce at (0.0000, 0.5000, 0.5000), U at (0.0000, 0.0000, 0.5000), As at (0.0000, 0.0000, 0.2404) and As at (0.0163, 0.5081, 0.2351).

The calculation puts the calculated total energy at -5.82 eV per atom. The magnetization comes out at 0.0 Bohr magnetons per cell. Its formation energy from the elements is -1.062 eV per atom.


DFT (PBE) results for crystalline SrCe2YAs4 at its relaxed geometry.

It has space group P2/m (No. 10), with a = 7.333 Å, b = 4.257 Å, c = 7.412 Å, α = 90.00°, β = 109.46° and γ = 90.00°. Symmetry generates all atoms from Sr at (0.000, 0.000, 0.000), Ce at (0.500, 0.000, 0.500), Ce at (0.500, 0.500, 0.000), Y at (0.000, 0.500, 0.500), As at (0.254, 0.000, 0.741) and As at (0.265, 0.500, 0.266).

The calculation puts the calculated total energy at -6.20 eV per atom. The magnetization comes out at 1.0 Bohr magnetons per cell. Its formation energy from the elements is -1.376 eV per atom.


DFT (PBE) results for crystalline Sr3Ce3ZrAs8 at its relaxed geometry.

It has space group R-3m (No. 166, hexagonal axes), with a = 8.5595 Å, b = 8.5595 Å, c = 21.2489 Å, α = 90.00°, β = 90.00° and γ = 120.00°. Symmetry generates all atoms from Sr at (0.0000, 0.5000, 0.0000), Ce at (0.0000, 0.5000, 0.5000), Zr at (0.0000, 0.0000, 0.5000), As at (0.0000, 0.0000, 0.2408) and As at (0.0157, 0.5079, 0.2355).

The calculation puts the calculated total energy at -5.62 eV per atom. The magnetization comes out at 0.0 Bohr magnetons per cell. Its formation energy from the elements is -1.048 eV per atom.


DFT (PBE) results for crystalline CeTaAs at its relaxed geometry.

It has space group R-3m (No. 166, hexagonal axes), with a = 4.0796 Å, b = 4.0796 Å, c = 27.5282 Å, α = 90.00°, β = 90.00° and γ = 120.00°. Symmetry generates all atoms from Ce at (0.0000, 0.0000, 0.1354), Ta at (0.0000, 0.0000, 0.3043) and As at (0.0000, 0.0000, 0.4026).

The calculation puts the calculated total energy at -7.77 eV per atom. The magnetization comes out at 3.9 Bohr magnetons per cell. Its formation energy from the elements is -0.288 eV per atom.


DFT (PBE) results for crystalline CeTaAs2 at its relaxed geometry.

It has space group R-3m (No. 166, hexagonal axes), with a = 3.9696 Å, b = 3.9696 Å, c = 18.8973 Å, α = 90.00°, β = 90.00° and γ = 120.00°. Symmetry generates all atoms from Ce at (0.0000, 0.0000, 0.0000), Ta at (0.0000, 0.0000, 0.5000) and As at (0.0000, 0.0000, 0.2398).

The calculation puts the calculated total energy at -7.61 eV per atom. The magnetization comes out at 0.6 Bohr magnetons per cell. Its formation energy from the elements is -0.838 eV per atom.


DFT (PBE) results for crystalline TbCe6As8 at its relaxed geometry.

It has space group Fm-3m (No. 225), with a = 11.854 Å, b = 11.854 Å, c = 11.854 Å, α = 90.00°, β = 90.00° and γ = 90.00°. Symmetry generates all atoms from Tb at (0.000, 0.000, 0.000), Ce at (0.000, 0.250, 0.250), As at (0.000, 0.000, 0.248) and As at (0.250, 0.250, 0.250).

The calculation puts the calculated total energy at -6.39 eV per atom. The magnetization comes out at 11.4 Bohr magnetons per cell. Its formation energy from the elements is -1.230 eV per atom.


DFT (PBE) results for crystalline TbCe5As6 at its relaxed geometry.

It has space group C2/m (No. 12), with a = 7.283 Å, b = 12.615 Å, c = 7.283 Å, α = 90.00°, β = 109.48° and γ = 90.00°. Symmetry generates all atoms from Tb at (0.000, 0.000, 0.000), Ce at (0.000, 0.167, 0.500), Ce at (0.000, 0.333, 0.000), Ce at (0.000, 0.500, 0.500), As at (0.249, 0.000, 0.751) and As at (0.249, 0.166, 0.248).

The calculation puts the calculated total energy at -6.63 eV per atom. The magnetization comes out at 7.1 Bohr magnetons per cell. Its formation energy from the elements is -1.442 eV per atom.


DFT (PBE) results for crystalline Tb2CeAs3 at its relaxed geometry.

It has space group Immm (No. 71), with a = 4.166 Å, b = 5.887 Å, c = 12.482 Å, α = 90.00°, β = 90.00° and γ = 90.00°. Symmetry generates all atoms from Tb at (0.000, 0.000, 0.166), Ce at (0.000, 0.000, 0.500), As at (0.000, 0.500, 0.167) and As at (0.000, 0.500, 0.500).

The calculation puts the calculated total energy at -6.36 eV per atom. The magnetization comes out at 1.2 Bohr magnetons per cell. Its formation energy from the elements is -1.505 eV per atom.


DFT (PBE) results for crystalline Tb5Ce3As8 at its relaxed geometry.

It has space group R-3m (No. 166, hexagonal axes), with a = 8.3347 Å, b = 8.3347 Å, c = 20.3986 Å, α = 90.00°, β = 90.00° and γ = 120.00°. Symmetry generates all atoms from Tb at (0.0000, 0.0000, 0.0000), Tb at (0.0000, 0.0000, 0.5000), Tb at (0.0000, 0.5000, 0.0000), Ce at (0.0000, 0.5000, 0.5000), As at (0.0000, 0.0000, 0.2511) and As at (0.0009, 0.5004, 0.2504).

The calculation puts the calculated total energy at -6.39 eV per atom. The magnetization comes out at 5.4 Bohr magnetons per cell. Its formation energy from the elements is -1.501 eV per atom.


DFT (PBE) results for crystalline Tb2Ce2As5 at its relaxed geometry.

It has space group Cmce (No. 64), with a = 14.521 Å, b = 7.746 Å, c = 7.783 Å, α = 90.00°, β = 90.00° and γ = 90.00°. Symmetry generates all atoms from Tb at (0.000, 0.157, 0.159), Ce at (0.194, 0.000, 0.500), As at (0.000, 0.000, 0.500) and As at (0.139, 0.153, 0.850).

The calculation puts the calculated total energy at -6.15 eV per atom. The magnetization comes out at 0.0 Bohr magnetons per cell. Its formation energy from the elements is -1.216 eV per atom.


DFT (PBE) results for crystalline TbCe3As4 at its relaxed geometry.

It has space group Pm-3m (No. 221), with a = 5.936 Å, b = 5.936 Å, c = 5.936 Å, α = 90.00°, β = 90.00° and γ = 90.00°. Symmetry generates all atoms from Tb at (0.000, 0.000, 0.000), Ce at (0.000, 0.500, 0.500), As at (0.000, 0.000, 0.500) and As at (0.500, 0.500, 0.500).

The calculation puts the calculated total energy at -6.58 eV per atom. The magnetization comes out at 2.1 Bohr magnetons per cell. Its formation energy from the elements is -1.449 eV per atom.


DFT (PBE) results for crystalline TbCe4As6 at its relaxed geometry.

It has space group R-3c (No. 167, hexagonal axes), with a = 11.5077 Å, b = 11.5077 Å, c = 14.5153 Å, α = 90.00°, β = 90.00° and γ = 120.00°. Symmetry generates all atoms from Tb at (0.0000, 0.0000, 0.0000), Ce at (0.0000, 0.0000, 0.2500), Ce at (0.0000, 0.3827, 0.2500) and As at (0.0298, 0.2101, 0.3860).

The calculation puts the calculated total energy at -6.32 eV per atom. The magnetization comes out at 8.0 Bohr magnetons per cell. Its formation energy from the elements is -1.204 eV per atom.


DFT (PBE) results for crystalline TbCe3As4 at its relaxed geometry.

It has space group Cmmm (No. 65), with a = 8.394 Å, b = 11.870 Å, c = 4.199 Å, α = 90.00°, β = 90.00° and γ = 90.00°. Symmetry generates all atoms from Tb at (0.000, 0.000, 0.000), Ce at (0.000, 0.500, 0.000), Ce at (0.250, 0.250, 0.500), As at (0.000, 0.249, 0.000) and As at (0.248, 0.000, 0.500).

The calculation puts the calculated total energy at -6.58 eV per atom. The magnetization comes out at 4.1 Bohr magnetons per cell. Its formation energy from the elements is -1.452 eV per atom.


DFT (PBE) results for crystalline Tb3Ce5As8 at its relaxed geometry.

It has space group R-3m (No. 166, hexagonal axes), with a = 8.3769 Å, b = 8.3769 Å, c = 20.5019 Å, α = 90.00°, β = 90.00° and γ = 120.00°. Symmetry generates all atoms from Tb at (0.0000, 0.5000, 0.0000), Ce at (0.0000, 0.0000, 0.0000), Ce at (0.0000, 0.0000, 0.5000), Ce at (0.0000, 0.5000, 0.5000), As at (0.0000, 0.0000, 0.2509) and As at (0.0016, 0.5008, 0.2508).

The calculation puts the calculated total energy at -6.52 eV per atom. The magnetization comes out at 10.1 Bohr magnetons per cell. Its formation energy from the elements is -1.468 eV per atom.


DFT (PBE) results for crystalline Tb5CeAs6 at its relaxed geometry.

It has space group C2/m (No. 12), with a = 7.187 Å, b = 12.445 Å, c = 7.190 Å, α = 90.00°, β = 109.48° and γ = 90.00°. Symmetry generates all atoms from Tb at (0.000, 0.000, 0.000), Tb at (0.000, 0.167, 0.500), Tb at (0.000, 0.333, 0.000), Ce at (0.000, 0.500, 0.500), As at (0.250, 0.000, 0.750) and As at (0.250, 0.167, 0.249).

The calculation puts the calculated total energy at -6.28 eV per atom. The magnetization comes out at 1.0 Bohr magnetons per cell. Its formation energy from the elements is -1.528 eV per atom.


DFT (PBE) results for crystalline Tb2Ce3ThAs6 at its relaxed geometry.

It has space group C2/m (No. 12), with a = 7.271 Å, b = 12.597 Å, c = 7.289 Å, α = 90.00°, β = 109.44° and γ = 90.00°. Symmetry generates all atoms from Tb at (0.000, 0.167, 0.000), Ce at (0.000, 0.000, 0.500), Ce at (0.000, 0.334, 0.500), Th at (0.000, 0.500, 0.000), As at (0.246, 0.000, 0.247) and As at (0.249, 0.168, 0.752).

The calculation puts the calculated total energy at -6.67 eV per atom. The magnetization comes out at 4.4 Bohr magnetons per cell. Its formation energy from the elements is -1.470 eV per atom.


DFT (PBE) results for crystalline Tb3CeTh4As8 at its relaxed geometry.

It has space group R-3m (No. 166, hexagonal axes), with a = 8.4305 Å, b = 8.4305 Å, c = 20.5402 Å, α = 90.00°, β = 90.00° and γ = 120.00°. Symmetry generates all atoms from Tb at (0.0000, 0.5000, 0.0000), Ce at (0.0000, 0.0000, 0.0000), Th at (0.0000, 0.0000, 0.5000), Th at (0.0000, 0.5000, 0.5000), As at (0.0000, 0.0000, 0.2519) and As at (0.0015, 0.5008, 0.2518).

The calculation puts the calculated total energy at -6.88 eV per atom. The magnetization comes out at 2.1 Bohr magnetons per cell. Its formation energy from the elements is -1.462 eV per atom.